Run P
VASP calculation (PBE) on Dy5Te2Ru after structural relaxation.

Cell lengths 6.6036, 6.6036, 14.4955 Å; angles 90.00, 90.00, 127.38 degrees
Closest atoms and distances in Å follow each position.
Atoms (fractional coordinates):
1 Dy 0.0629 0.9371 0.6233  1 Ru 2.61
2 Dy 0.0629 0.9371 0.8767  1 Ru 2.61
3 Dy 0.3066 0.6934 0.2500  2 Ru 2.94, 2 Te 3.09
4 Dy 0.3716 0.6284 0.6143  1 Ru 2.67
5 Dy 0.3716 0.6284 0.8857  1 Ru 2.67
6 Dy 0.6284 0.3716 0.1143  1 Ru 2.67
7 Dy 0.6284 0.3716 0.3857  1 Ru 2.67
8 Dy 0.6934 0.3066 0.7500  2 Ru 2.94, 2 Te 3.09
9 Dy 0.9371 0.0629 0.1233  1 Ru 2.61
10 Dy 0.9371 0.0629 0.3767  1 Ru 2.61
11 Te 0.1903 0.8097 0.0595  6 Dy 3.05-3.31
12 Te 0.1903 0.8097 0.4405  6 Dy 3.05-3.31
13 Te 0.8097 0.1903 0.5595  6 Dy 3.05-3.31
14 Te 0.8097 0.1903 0.9405  6 Dy 3.05-3.31
15 Ru 0.2197 0.7803 0.7500  4 Dy 2.61-2.67
16 Ru 0.7803 0.2197 0.2500  4 Dy 2.61-2.67

Computed properties:
- SG: No. 63
- Size of the total moment: 0.00 μB/f.u.

Run Q
VASP calculation (PBE) on Dy5Te2Ru after structural relaxation.

Cell lengths 8.1443, 12.8418, 4.2040 Å; angles 90.00, 90.00, 90.00 degrees
Closest atoms and distances in Å follow each position.
Atoms (fractional coordinates):
1 Dy 0.0000 0.0000 0.0000  4 Te 3.13
2 Dy 0.1580 0.3146 0.0000  1 Ru 2.71
3 Dy 0.1731 0.5787 0.5000  2 Ru 2.73
4 Dy 0.3269 0.0787 0.5000  2 Ru 2.73
5 Dy 0.3420 0.8146 0.0000  1 Ru 2.71
6 Dy 0.5000 0.5000 0.0000  4 Te 3.13
7 Dy 0.6580 0.1854 0.0000  1 Ru 2.71
8 Dy 0.6731 0.9213 0.5000  2 Ru 2.73
9 Dy 0.8269 0.4213 0.5000  2 Ru 2.73
10 Dy 0.8420 0.6854 0.0000  1 Ru 2.71
11 Te 0.0456 0.8219 0.5000  8 Dy 3.13-3.29
12 Te 0.4544 0.3219 0.5000  8 Dy 3.13-3.29
13 Te 0.5456 0.6781 0.5000  8 Dy 3.13-3.29
14 Te 0.9544 0.1781 0.5000  8 Dy 3.13-3.29
15 Ru 0.0000 0.5000 0.0000  6 Dy 2.71-2.73
16 Ru 0.5000 0.0000 0.0000  6 Dy 2.71-2.73

Computed properties:
- SG: No. 55
- Size of the total moment: 0.00 μB/f.u.

Most stable of them? run Q.

Run P
VASP calculation (PBE) on Dy2TeRu after structural relaxation.

Cell lengths 3.5665, 3.5665, 7.4433 Å; angles 90.00, 90.00, 90.00 degrees
Closest atoms and distances in Å follow each position.
Atoms (fractional coordinates):
1 Dy 0.0000 0.0000 0.2215  4 Ru 3.01, 4 Te 3.26, 1 Dy 3.30
2 Dy 0.0000 0.0000 0.7785  4 Ru 3.01, 4 Te 3.26, 1 Dy 3.30
3 Te 0.5000 0.5000 0.5000  8 Dy 3.26, 4 Te 3.57
4 Ru 0.5000 0.5000 0.0000  8 Dy 3.01

Computed properties:
- SG: No. 123
- Size of the total moment: 0.00 μB/f.u.

Run Q
VASP calculation (PBE) on Dy2TeRu after structural relaxation.

Cell lengths 7.6637, 7.6637, 7.6637 Å; angles 30.89, 30.89, 30.89 degrees
Closest atoms and distances in Å follow each position.
Atoms (fractional coordinates):
1 Dy 0.2371 0.2371 0.2371  3 Ru 2.82
2 Dy 0.7629 0.7629 0.7629  3 Ru 2.82
3 Te 0.0000 0.0000 0.0000  6 Dy 3.16
4 Ru 0.5000 0.5000 0.5000  6 Dy 2.82

Computed properties:
- SG: No. 166
- Size of the total moment: 0.00 μB/f.u.

Most stable of them? run P.

Run P
VASP calculation (PBE) on Dy2Th2Ru3 after structural relaxation.

Cell lengths 3.9804, 6.2767, 7.1371 Å; angles 89.18, 74.13, 89.97 degrees
Closest atoms and distances in Å follow each position.
Atoms (fractional coordinates):
1 Dy 0.1133 0.1300 0.2822  4 Ru 2.73-2.84
2 Dy 0.8867 0.8700 0.7178  4 Ru 2.73-2.84
3 Th 0.3574 0.3811 0.7838  5 Ru 2.81-3.10
4 Th 0.6426 0.6189 0.2162  5 Ru 2.81-3.10
5 Ru 0.0000 0.5000 0.5000  2 Dy 2.78, 4 Th 2.87-2.89
6 Ru 0.2556 0.8183 0.9874  3 Dy 2.73-2.84, 2 Th 2.81-2.82, 2 Ru 3.03-3.04
7 Ru 0.7444 0.1817 0.0126  3 Dy 2.73-2.84, 2 Th 2.81-2.82, 2 Ru 3.03-3.04

Computed properties:
- SG: No. 2
- Size of the total moment: 0.00 μB/f.u.

Run Q
VASP calculation (PBE) on Dy2Th2Ru3 after structural relaxation.

Cell lengths 4.8048, 4.8048, 8.7074 Å; angles 106.08, 106.08, 60.05 degrees
Closest atoms and distances in Å follow each position.
Atoms (fractional coordinates):
1 Dy 0.1288 0.1288 0.3864  5 Ru 3.03-3.19, 3 Dy 3.35
2 Dy 0.8712 0.8712 0.6136  5 Ru 3.03-3.19, 3 Dy 3.35
3 Th 0.3808 0.3808 0.1422  7 Ru 2.88-3.14
4 Th 0.6192 0.6192 0.8578  7 Ru 2.88-3.14
5 Ru 0.0000 0.0000 0.0000  6 Th 3.01, 2 Dy 3.19
6 Ru 0.2542 0.2542 0.7617  4 Th 2.88-3.14, 4 Dy 3.03-3.10
7 Ru 0.7458 0.7458 0.2383  4 Th 2.88-3.14, 4 Dy 3.03-3.10

Computed properties:
- SG: No. 12
- Size of the total moment: 0.00 μB/f.u.

Most stable of them? run Q.

Run P
VASP calculation (PBE) on Dy2ThRu2 after structural relaxation.

Cell lengths 4.2939, 4.4177, 12.6678 Å; angles 90.00, 99.70, 90.00 degrees
Closest atoms and distances in Å follow each position.
Atoms (fractional coordinates):
1 Dy 0.0550 0.2500 0.1098  7 Ru 2.94-3.13
2 Dy 0.2505 0.7500 0.5017  4 Ru 2.87-2.95, 4 Dy 3.08
3 Dy 0.7495 0.2500 0.4983  4 Ru 2.87-2.95, 4 Dy 3.08
4 Dy 0.9450 0.7500 0.8902  7 Ru 2.94-3.13
5 Th 0.3679 0.2500 0.7327  1 Ru 2.48
6 Th 0.6321 0.7500 0.2673  1 Ru 2.48
7 Ru 0.1730 0.2500 0.3454  5 Dy 2.87-2.95
8 Ru 0.4638 0.2500 0.9311  1 Th 2.48
9 Ru 0.5362 0.7500 0.0689  1 Th 2.48
10 Ru 0.8270 0.7500 0.6546  5 Dy 2.87-2.95

Computed properties:
- SG: No. 11
- Size of the total moment: 0.00 μB/f.u.

Run Q
VASP calculation (PBE) on Dy2ThRu2 after structural relaxation.

Cell lengths 4.7006, 4.7006, 6.3117 Å; angles 90.00, 90.00, 120.00 degrees
Closest atoms and distances in Å follow each position.
Atoms (fractional coordinates):
1 Dy 0.3333 0.6667 0.1546  5 Ru 2.98-3.17
2 Dy 0.6667 0.3333 0.8454  5 Ru 2.98-3.17
3 Th 0.0000 0.0000 0.5000  6 Ru 2.88
4 Ru 0.3333 0.6667 0.6517  3 Th 2.88, 5 Dy 2.98-3.17
5 Ru 0.6667 0.3333 0.3483  3 Th 2.88, 5 Dy 2.98-3.17

Computed properties:
- SG: No. 164
- Size of the total moment: 0.00 μB/f.u.

Most stable of them? run Q.

Run P
VASP calculation (PBE) on Dy2ThRu after structural relaxation.

Cell lengths 6.2827, 6.2827, 9.5983 Å; angles 90.00, 90.00, 144.64 degrees
Closest atoms and distances in Å follow each position.
Atoms (fractional coordinates):
1 Dy 0.1417 0.8583 0.5699  3 Ru 2.94-3.29
2 Dy 0.1417 0.8583 0.9301  3 Ru 2.94-3.29
3 Dy 0.8583 0.1417 0.0699  3 Ru 2.94-3.29
4 Dy 0.8583 0.1417 0.4301  3 Ru 2.94-3.29
5 Th 0.4199 0.5801 0.7500  2 Ru 2.70
6 Th 0.5801 0.4199 0.2500  2 Ru 2.70
7 Ru 0.2402 0.7598 0.2500  2 Th 2.70, 4 Dy 2.94
8 Ru 0.7598 0.2402 0.7500  2 Th 2.70, 4 Dy 2.94

Computed properties:
- SG: No. 63
- Size of the total moment: 0.00 μB/f.u.

Run Q
VASP calculation (PBE) on Dy2ThRu after structural relaxation.

Cell lengths 3.4471, 3.4471, 8.8361 Å; angles 90.00, 90.00, 90.00 degrees
Closest atoms and distances in Å follow each position.
Atoms (fractional coordinates):
1 Dy 0.0000 0.0000 0.1853  4 Ru 2.94, 1 Dy 3.27
2 Dy 0.0000 0.0000 0.8147  4 Ru 2.94, 1 Dy 3.27
3 Th 0.5000 0.5000 0.5000  4 Th 3.45, 8 Dy 3.70
4 Ru 0.5000 0.5000 0.0000  8 Dy 2.94

Computed properties:
- SG: No. 123
- Size of the total moment: 0.00 μB/f.u.

Most stable of them? run P.